Entry 1:
# Cs3CrOs | Alexandria via LeMat-Bulk | SCAN | PBEsol geometry
data_Cs3CrOs
_symmetry_space_group_name_H-M 'P m -3 m'
_symmetry_Int_Tables_number 221
_symmetry_space_group_name_Hall '-P 4 2 3'
_cell_length_a 5.919
_cell_length_b 5.919
_cell_length_c 5.919
_cell_angle_alpha 90.00
_cell_angle_beta 90.00
_cell_angle_gamma 90.00
loop_
_atom_site_label
_atom_site_type_symbol
_atom_site_fract_x
_atom_site_fract_y
_atom_site_fract_z
Cs1 Cs 0.000 0.000 0.500
Cr1 Cr 0.500 0.500 0.500
Os1 Os 0.000 0.000 0.000
# DOS at the Fermi energy = 1.9 states/eV per cell
# Formation enthalpy at 0 K = 1.51 eV/atom
# Calculated total energy = -39.231 eV/atom
# Calculated density = 5.1 Mg/m³

***

Entry 2:
# CsCrP2S7 | Alexandria via LeMat-Bulk | SCAN | PBEsol geometry
data_CsCrP2S7
_symmetry_space_group_name_H-M 'C 1 2 1'
_symmetry_Int_Tables_number 5
_cell_length_a 8.545
_cell_length_b 9.483
_cell_length_c 6.803
_cell_angle_alpha 90.00
_cell_angle_beta 97.03
_cell_angle_gamma 90.00
loop_
_symmetry_equiv_pos_as_xyz
'x,y,z'
'-x,y,-z'
'x+1/2,y+1/2,z'
'-x+1/2,y+1/2,-z'
loop_
_atom_site_label
_atom_site_type_symbol
_atom_site_fract_x
_atom_site_fract_y
_atom_site_fract_z
Cs1 Cs 0.000 0.000 0.000
Cr1 Cr 0.000 0.411 0.500
P1 P 0.201 0.759 0.572
S1 S 0.000 0.893 0.500
S2 S 0.141 0.582 0.709
S3 S 0.159 0.384 0.239
S4 S 0.178 0.240 0.664
# DOS at the Fermi energy = 0.0 states/eV per cell
# Calculated total energy = -13.900 eV/atom
# ΔE_f (raw) = -8.5 eV per formula unit
# Calculated density = 2.9 Mg/m³

***

Entry 3:
# CsCrPb3 | Alexandria via LeMat-Bulk | SCAN | PBEsol geometry
data_CsCrPb3
_symmetry_space_group_name_H-M 'P m -3 m'
_symmetry_Int_Tables_number 221
_symmetry_space_group_name_Hall '-P 4 2 3'
_cell_length_a 6.065
_cell_length_b 6.065
_cell_length_c 6.065
_cell_angle_alpha 90.00
_cell_angle_beta 90.00
_cell_angle_gamma 90.00
loop_
_atom_site_label
_atom_site_type_symbol
_atom_site_fract_x
_atom_site_fract_y
_atom_site_fract_z
Cs1 Cs 0.000 0.000 0.000
Cr1 Cr 0.500 0.500 0.500
Pb1 Pb 0.000 0.000 0.500
# DOS at the Fermi energy = 3.6 states/eV per cell
# Formation enthalpy at 0 K = 1.61 eV/atom
# Calculated total energy = -55.094 eV/atom
# Calculated density = 6.0 Mg/m³

***

Entry 4:
# CsCrRh3 | Alexandria via LeMat-Bulk | SCAN | PBEsol geometry
data_CsCrRh3
_symmetry_space_group_name_H-M 'P m -3 m'
_symmetry_Int_Tables_number 221
_symmetry_space_group_name_Hall '-P 4 2 3'
_cell_length_a 4.810
_cell_length_b 4.810
_cell_length_c 4.810
_cell_angle_alpha 90.00
_cell_angle_beta 90.00
_cell_angle_gamma 90.00
loop_
_atom_site_label
_atom_site_type_symbol
_atom_site_fract_x
_atom_site_fract_y
_atom_site_fract_z
Cs1 Cs 0.000 0.000 0.000
Cr1 Cr 0.500 0.500 0.500
Rh1 Rh 0.000 0.000 0.500
# DOS at the Fermi energy = 7.8 states/eV per cell
# Formation enthalpy at 0 K = 2.20 eV/atom
# Calculated total energy = -29.302 eV/atom
# Calculated density = 7.4 Mg/m³

***

Entry 5:
# CsCr2S4 | Alexandria via LeMat-Bulk | SCAN | PBEsol geometry
data_CsCr2S4
_symmetry_space_group_name_H-M 'C 1 2/m 1'
_symmetry_Int_Tables_number 12
_cell_length_a 16.504
_cell_length_b 3.510
_cell_length_c 5.715
_cell_angle_alpha 90.00
_cell_angle_beta 103.02
_cell_angle_gamma 90.00
loop_
_symmetry_equiv_pos_as_xyz
'x,y,z'
'-x,-y,-z'
'-x,y,-z'
'x,-y,z'
'x+1/2,y+1/2,z'
'-x+1/2,-y+1/2,-z'
'-x+1/2,y+1/2,-z'
'x+1/2,-y+1/2,z'
loop_
_atom_site_label
_atom_site_type_symbol
_atom_site_fract_x
_atom_site_fract_y
_atom_site_fract_z
Cs1 Cs 0.000 0.000 0.000
Cr1 Cr 0.246 0.500 0.730
S1 S 0.163 0.000 0.529
S2 S 0.176 0.500 0.044
# DOS at the Fermi energy = 5.4 states/eV per cell
# Calculated total energy = -17.272 eV/atom
# ΔE_f (raw) = -7.8 eV per formula unit
# Calculated density = 3.8 Mg/m³

***

Entry 6:
# CsCr2S | Alexandria via LeMat-Bulk | SCAN | PBEsol geometry
data_CsCr2S
_symmetry_space_group_name_H-M 'F m -3 m'
_symmetry_Int_Tables_number 225
_symmetry_space_group_name_Hall '-F 4 2 3'
_cell_length_a 6.979
_cell_length_b 6.979
_cell_length_c 6.979
_cell_angle_alpha 90.00
_cell_angle_beta 90.00
_cell_angle_gamma 90.00
loop_
_atom_site_label
_atom_site_type_symbol
_atom_site_fract_x
_atom_site_fract_y
_atom_site_fract_z
Cs1 Cs 0.000 0.000 0.000
Cr1 Cr 0.250 0.250 0.250
S1 S 0.000 0.000 0.500
# DOS at the Fermi energy = 7.4 states/eV per cell
# Calculated total energy = -20.283 eV/atom
# ΔE_f (raw) = 3.1 eV per formula unit
# Calculated density = 5.3 Mg/m³

***

Entry 7:
# CsCrSe2 | Alexandria via LeMat-Bulk | SCAN | PBEsol geometry
data_CsCrSe2
_symmetry_space_group_name_H-M 'I -4 2 d'
_symmetry_Int_Tables_number 122
_symmetry_space_group_name_Hall 'I -4 2bw'
_cell_length_a 7.573
_cell_length_b 7.573
_cell_length_c 8.577
_cell_angle_alpha 90.00
_cell_angle_beta 90.00
_cell_angle_gamma 90.00
loop_
_atom_site_label
_atom_site_type_symbol
_atom_site_fract_x
_atom_site_fract_y
_atom_site_fract_z
Cs1 Cs 0.000 0.000 0.000
Cr1 Cr 0.000 0.000 0.500
Se1 Se 0.123 0.750 0.625
# DOS at the Fermi energy = 3.1 states/eV per cell
# Calculated total energy = -25.063 eV/atom
# ΔE_f (raw) = -3.9 eV per formula unit
# Calculated density = 4.6 Mg/m³

***

Entry 8:
# Cs3Cr20Se32 | Alexandria via LeMat-Bulk | SCAN | PBEsol geometry
data_Cs3Cr20Se32
_symmetry_space_group_name_H-M 'P -1'
_symmetry_Int_Tables_number 2
_cell_length_a 10.810
_cell_length_b 11.439
_cell_length_c 11.521
_cell_angle_alpha 68.94
_cell_angle_beta 81.35
_cell_angle_gamma 62.28
loop_
_symmetry_equiv_pos_as_xyz
'x,y,z'
'-x,-y,-z'
loop_
_atom_site_label
_atom_site_type_symbol
_atom_site_fract_x
_atom_site_fract_y
_atom_site_fract_z
Cs1 Cs 0.000 0.000 0.000
Cs2 Cs 0.272 0.728 0.272
Cr1 Cr 0.043 0.641 0.878
Cr2 Cr 0.086 0.321 0.515
Cr3 Cr 0.125 0.875 0.625
Cr4 Cr 0.162 0.430 0.736
Cr5 Cr 0.209 0.108 0.373
Cr6 Cr 0.293 0.389 0.129
Cr7 Cr 0.336 0.071 0.765
Cr8 Cr 0.375 0.625 0.875
Cr9 Cr 0.412 0.180 0.985
Cr10 Cr 0.458 0.862 0.622
Se1 Se 0.015 0.134 0.522
Se2 Se 0.072 0.105 0.225
Se3 Se 0.091 0.251 0.743
Se4 Se 0.095 0.382 0.275
Se5 Se 0.155 0.367 0.975
Se6 Se 0.158 0.498 0.508
Se7 Se 0.181 0.642 0.027
Se8 Se 0.235 0.616 0.728
Se9 Se 0.264 0.884 0.773
Se10 Se 0.323 0.856 0.477
Se11 Se 0.343 0.999 0.994
Se12 Se 0.344 0.134 0.525
Se13 Se 0.405 0.115 0.225
Se14 Se 0.405 0.250 0.757
Se15 Se 0.432 0.389 0.277
Se16 Se 0.485 0.366 0.978
# DOS at the Fermi energy = 9.0 states/eV per cell
# Calculated total energy = -21.406 eV/atom
# ΔE_f (raw) = -53.7 eV per formula unit
# Calculated density = 5.6 Mg/m³

***

Entry 9:
# Cs2CrSn | Alexandria via LeMat-Bulk | SCAN | PBEsol geometry
data_Cs2CrSn
_symmetry_space_group_name_H-M 'F m -3 m'
_symmetry_Int_Tables_number 225
_symmetry_space_group_name_Hall '-F 4 2 3'
_cell_length_a 8.770
_cell_length_b 8.770
_cell_length_c 8.770
_cell_angle_alpha 90.00
_cell_angle_beta 90.00
_cell_angle_gamma 90.00
loop_
_atom_site_label
_atom_site_type_symbol
_atom_site_fract_x
_atom_site_fract_y
_atom_site_fract_z
Cs1 Cs 0.250 0.250 0.250
Cr1 Cr 0.000 0.000 0.000
Sn1 Sn 0.000 0.000 0.500
# DOS at the Fermi energy = 9.1 states/eV per cell
# Formation enthalpy at 0 K = 0.54 eV/atom
# Calculated total energy = -31.940 eV/atom
# Calculated density = 4.3 Mg/m³

***

Entry 10:
# CsCrTc3 | Alexandria via LeMat-Bulk | SCAN | PBEsol geometry
data_CsCrTc3
_symmetry_space_group_name_H-M 'P m -3 m'
_symmetry_Int_Tables_number 221
_symmetry_space_group_name_Hall '-P 4 2 3'
_cell_length_a 4.605
_cell_length_b 4.605
_cell_length_c 4.605
_cell_angle_alpha 90.00
_cell_angle_beta 90.00
_cell_angle_gamma 90.00
loop_
_atom_site_label
_atom_site_type_symbol
_atom_site_fract_x
_atom_site_fract_y
_atom_site_fract_z
Cs1 Cs 0.000 0.000 0.000
Cr1 Cr 0.500 0.500 0.500
Tc1 Tc 0.000 0.500 0.500
# DOS at the Fermi energy = 3.2 states/eV per cell
# Formation enthalpy at 0 K = 1.72 eV/atom
# Calculated total energy = -30.552 eV/atom
# Calculated density = 8.1 Mg/m³

***

Entry 11:
# CsCr3Te | Alexandria via LeMat-Bulk | SCAN | PBEsol geometry
data_CsCr3Te
_symmetry_space_group_name_H-M 'P m -3 m'
_symmetry_Int_Tables_number 221
_symmetry_space_group_name_Hall '-P 4 2 3'
_cell_length_a 5.242
_cell_length_b 5.242
_cell_length_c 5.242
_cell_angle_alpha 90.00
_cell_angle_beta 90.00
_cell_angle_gamma 90.00
loop_
_atom_site_label
_atom_site_type_symbol
_atom_site_fract_x
_atom_site_fract_y
_atom_site_fract_z
Cs1 Cs 0.000 0.000 0.000
Cr1 Cr 0.000 0.000 0.500
Te1 Te 0.500 0.500 0.500
# DOS at the Fermi energy = 3.2 states/eV per cell
# Calculated total energy = -24.064 eV/atom
# ΔE_f (raw) = 9.9 eV per formula unit
# Calculated density = 4.8 Mg/m³

***

Entry 12:
# CsCr3W | Alexandria via LeMat-Bulk | SCAN | PBEsol geometry
data_CsCr3W
_symmetry_space_group_name_H-M 'P m -3 m'
_symmetry_Int_Tables_number 221
_symmetry_space_group_name_Hall '-P 4 2 3'
_cell_length_a 4.676
_cell_length_b 4.676
_cell_length_c 4.676
_cell_angle_alpha 90.00
_cell_angle_beta 90.00
_cell_angle_gamma 90.00
loop_
_atom_site_label
_atom_site_type_symbol
_atom_site_fract_x
_atom_site_fract_y
_atom_site_fract_z
Cs1 Cs 0.000 0.000 0.000
Cr1 Cr 0.000 0.000 0.500
W1 W 0.500 0.500 0.500
# DOS at the Fermi energy = 4.1 states/eV per cell
# Formation enthalpy at 0 K = 3.17 eV/atom
# Calculated total energy = -29.365 eV/atom
# Calculated density = 7.7 Mg/m³